{
  "formula": "Tb2ThAl2",
  "functional": "PBE",
  "state": "optimized geometry",
  "lattice_angstrom": [[-1.109, 3.421, 0.686], [-1.320, -1.486, 5.277], [12.632, 3.612, 2.401]],
  "species": ["Al", "Al", "Al", "Al", "Tb", "Tb", "Tb", "Tb", "Th", "Th"],
  "frac_coords": [[0.250, 0.353, 0.959], [0.250, 0.793, 0.660], [0.750, 0.647, 0.041], [0.750, 0.207, 0.340], [0.250, 0.262, 0.536], [0.750, 0.738, 0.464], [0.750, 0.155, 0.111], [0.250, 0.845, 0.889], [0.250, 0.694, 0.238], [0.750, 0.306, 0.762]],
  "delta_e_f_ev_per_fu": -0.47,
  "sg": "P2_1/m, No. 11",
  "total_energy_ev_per_atom": -4.93,
  "magnetic_moment_mub_per_fu": 0.0
}

{
  "formula": "HfNiPd3",
  "functional": "PBE",
  "state": "optimized geometry",
  "lattice_angstrom": [[-2.946, -0.779, -3.738], [-0.083, -4.706, 1.046], [-3.817, 0.704, 2.861]],
  "species": ["Pd", "Pd", "Pd", "Hf", "Ni"],
  "frac_coords": [[0.500, 0.000, 0.000], [0.000, 0.000, 0.500], [0.000, 0.500, 0.000], [0.000, 0.000, 0.000], [0.500, 0.500, 0.500]],
  "delta_e_f_ev_per_fu": 4.57,
  "sg": "Pm-3m, No. 221",
  "total_energy_ev_per_atom": -5.35,
  "magnetic_moment_mub_per_fu": 0.5
}